Entry 1:
# AlSi5 (GGA-PBEsol, optimized geometry)
data_AlSi5
_chemical_formula_sum 'Al1 Si5'
_space_group_name_H-M_alt 'P 4/m m m'
_space_group_IT_number 123
_space_group_name_Hall '-P 4 2'
_cell_length_a 2.743
_cell_length_b 2.743
_cell_length_c 11.456
_cell_angle_alpha 90.00
_cell_angle_beta 90.00
_cell_angle_gamma 90.00
loop_
_atom_site_label
_atom_site_fract_x
_atom_site_fract_y
_atom_site_fract_z
_atom_site_occupancy
Al1 0.000 0.000 0.000 1
Si1 0.000 0.000 0.335 1
Si2 0.500 0.500 0.171 1
Si3 0.500 0.500 0.500 1
# excess energy over the best structure of this formula in the dataset: 0.00 kJ/mol of atoms
# ΔE_f (raw): 1.93 eV/f.u.
# electronic total energy: -5.150 eV/atom
# total magnetic moment: 0.00 μB/atom
# crystal system: tetragonal

---

Entry 2:
# AlSi (GGA-PBEsol, optimized geometry)
data_AlSi
_chemical_formula_sum 'Al2 Si2'
_space_group_name_H-M_alt 'P -3 m 1'
_space_group_IT_number 164
_space_group_name_Hall '-P 3 2"'
_cell_length_a 2.7666
_cell_length_b 2.7666
_cell_length_c 9.1641
_cell_angle_alpha 90.00
_cell_angle_beta 90.00
_cell_angle_gamma 120.00
loop_
_atom_site_label
_atom_site_fract_x
_atom_site_fract_y
_atom_site_fract_z
_atom_site_occupancy
Al1 0.3333 0.6667 0.1322 1
Si1 0.3333 0.6667 0.6178 1
# ΔE_f (raw): 0.41 eV/f.u.
# electronic total energy: -4.716 eV/atom
# total magnetic moment: 0.00 μB/atom
# crystal system: trigonal

---

Entry 3:
# Al4Si (GGA-PBEsol, optimized geometry)
data_Al4Si
_chemical_formula_sum 'Al8 Si2'
_space_group_name_H-M_alt 'I 4/m'
_space_group_IT_number 87
_space_group_name_Hall '-I 4'
_cell_length_a 6.246
_cell_length_b 6.246
_cell_length_c 4.021
_cell_angle_alpha 90.00
_cell_angle_beta 90.00
_cell_angle_gamma 90.00
loop_
_atom_site_label
_atom_site_fract_x
_atom_site_fract_y
_atom_site_fract_z
_atom_site_occupancy
Al1 0.101 0.701 0.000 1
Si1 0.000 0.000 0.500 1
# ΔE_f (raw): 0.30 eV/f.u.
# electronic total energy: -4.362 eV/atom
# total magnetic moment: 0.00 μB/atom
# crystal system: tetragonal

---

Entry 4:
# AlSi2 (GGA-PBEsol, optimized geometry)
data_AlSi2
_chemical_formula_sum 'Al1 Si2'
_space_group_name_H-M_alt 'P 6/m m m'
_space_group_IT_number 191
_space_group_name_Hall '-P 6 2'
_cell_length_a 4.4273
_cell_length_b 4.4273
_cell_length_c 2.6188
_cell_angle_alpha 90.00
_cell_angle_beta 90.00
_cell_angle_gamma 120.00
loop_
_atom_site_label
_atom_site_fract_x
_atom_site_fract_y
_atom_site_fract_z
_atom_site_occupancy
Al1 0.0000 0.0000 0.0000 1
Si1 0.3333 0.6667 0.5000 1
# ΔE_f (raw): 0.59 eV/f.u.
# electronic total energy: -5.000 eV/atom
# total magnetic moment: 0.00 μB/atom
# crystal system: hexagonal

---

Entry 5:
# Al3Si (GGA-PBEsol, optimized geometry)
data_Al3Si
_chemical_formula_sum 'Al3 Si1'
_space_group_name_H-M_alt 'P m m m'
_space_group_IT_number 47
_cell_length_a 2.890
_cell_length_b 3.778
_cell_length_c 5.713
_cell_angle_alpha 90.00
_cell_angle_beta 90.00
_cell_angle_gamma 90.00
loop_
_space_group_symop_operation_xyz
'x,y,z'
'-x,-y,-z'
'-x,-y,z'
'x,y,-z'
'x,-y,-z'
'-x,y,z'
'-x,y,-z'
'x,-y,z'
loop_
_atom_site_label
_atom_site_fract_x
_atom_site_fract_y
_atom_site_fract_z
_atom_site_occupancy
Al1 0.000 0.000 0.000 1
Al2 0.500 0.500 0.256 1
Si1 0.000 0.000 0.500 1
# ΔE_f (raw): 0.33 eV/f.u.
# electronic total energy: -4.423 eV/atom
# total magnetic moment: 0.00 μB/atom
# crystal system: orthorhombic

---

Entry 6:
# AlSi5 (GGA-PBEsol, optimized geometry)
data_AlSi5
_chemical_formula_sum 'Al1 Si5'
_space_group_name_H-M_alt 'P 6/m m m'
_space_group_IT_number 191
_space_group_name_Hall '-P 6 2'
_cell_length_a 4.9674
_cell_length_b 4.9674
_cell_length_c 4.3934
_cell_angle_alpha 90.00
_cell_angle_beta 90.00
_cell_angle_gamma 120.00
loop_
_atom_site_label
_atom_site_fract_x
_atom_site_fract_y
_atom_site_fract_z
_atom_site_occupancy
Al1 0.0000 0.0000 0.0000 1
Si1 0.0000 0.5000 0.5000 1
Si2 0.3333 0.6667 0.0000 1
# excess energy over the best structure of this formula in the dataset: 10.62 kJ/mol of atoms
# ΔE_f (raw): 2.59 eV/f.u.
# electronic total energy: -5.040 eV/atom
# total magnetic moment: 0.00 μB/atom
# crystal system: hexagonal

---

Entry 7:
# AlSi3 (GGA-PBEsol, optimized geometry)
data_AlSi3
_chemical_formula_sum 'Al3 Si9'
_space_group_name_H-M_alt 'R -3 m'
_space_group_IT_number 166
_space_group_name_Hall '-R 3 2"'
_cell_length_a 8.5331
_cell_length_b 8.5331
_cell_length_c 2.8360
_cell_angle_alpha 90.00
_cell_angle_beta 90.00
_cell_angle_gamma 120.00
loop_
_atom_site_label
_atom_site_fract_x
_atom_site_fract_y
_atom_site_fract_z
_atom_site_occupancy
Al1 0.0000 0.0000 0.0000 1
Si1 0.0000 0.5000 0.0000 1
# excess energy over the best structure of this formula in the dataset: 5.11 kJ/mol of atoms
# ΔE_f (raw): 1.29 eV/f.u.
# electronic total energy: -5.010 eV/atom
# total magnetic moment: 0.00 μB/atom
# crystal system: trigonal

---

Entry 8:
# Al3Si (GGA-PBEsol, optimized geometry)
data_Al3Si
_chemical_formula_sum 'Al3 Si1'
_space_group_name_H-M_alt 'P 4/m m m'
_space_group_IT_number 123
_space_group_name_Hall '-P 4 2'
_cell_length_a 3.412
_cell_length_b 3.412
_cell_length_c 5.480
_cell_angle_alpha 90.00
_cell_angle_beta 90.00
_cell_angle_gamma 90.00
loop_
_atom_site_label
_atom_site_fract_x
_atom_site_fract_y
_atom_site_fract_z
_atom_site_occupancy
Al1 0.000 0.000 0.000 1
Al2 0.500 0.500 0.259 1
Si1 0.000 0.000 0.500 1
# ΔE_f (raw): 0.45 eV/f.u.
# electronic total energy: -4.394 eV/atom
# total magnetic moment: 0.00 μB/atom
# crystal system: tetragonal

---

Entry 9:
# Sm12Al7Si (GGA-PBEsol, optimized geometry)
data_Sm12Al7Si
_chemical_formula_sum 'Sm48 Al28 Si4'
_space_group_name_H-M_alt 'I 4/m c m'
_space_group_IT_number 140
_space_group_name_Hall '-I 4 2c'
_cell_length_a 11.672
_cell_length_b 11.672
_cell_length_c 15.486
_cell_angle_alpha 90.00
_cell_angle_beta 90.00
_cell_angle_gamma 90.00
loop_
_atom_site_label
_atom_site_fract_x
_atom_site_fract_y
_atom_site_fract_z
_atom_site_occupancy
Sm1 0.000 0.500 0.150 1
Sm2 0.063 0.197 0.136 1
Sm3 0.171 0.329 0.500 1
Al1 0.000 0.000 0.000 1
Al2 0.118 0.382 0.000 1
Al3 0.179 0.321 0.295 1
Si1 0.000 0.000 0.250 1
# ΔE_f (raw): -6.73 eV/f.u.
# electronic total energy: -5.111 eV/atom
# total magnetic moment: 0.00 μB/atom
# crystal system: tetragonal

---

Entry 10:
# SmAlSi (GGA-PBEsol, optimized geometry)
data_SmAlSi
_chemical_formula_sum 'Sm4 Al4 Si4'
_space_group_name_H-M_alt 'I 41 m d'
_space_group_IT_number 109
_space_group_name_Hall 'I 4bw -2'
_cell_length_a 4.125
_cell_length_b 4.125
_cell_length_c 14.469
_cell_angle_alpha 90.00
_cell_angle_beta 90.00
_cell_angle_gamma 90.00
loop_
_atom_site_label
_atom_site_fract_x
_atom_site_fract_y
_atom_site_fract_z
_atom_site_occupancy
Sm1 0.000 0.000 0.000 1
Al1 0.000 0.000 0.416 1
Si1 0.000 0.000 0.581 1
# ΔE_f (raw): -2.06 eV/f.u.
# electronic total energy: -5.664 eV/atom
# total magnetic moment: 0.00 μB/atom
# crystal system: tetragonal

---

Entry 11:
# AlSi3Sn (GGA-PBEsol, optimized geometry)
data_AlSi3Sn
_chemical_formula_sum 'Al1 Si3 Sn1'
_space_group_name_H-M_alt 'P m -3 m'
_space_group_IT_number 221
_space_group_name_Hall '-P 4 2 3'
_cell_length_a 5.061
_cell_length_b 5.061
_cell_length_c 5.061
_cell_angle_alpha 90.00
_cell_angle_beta 90.00
_cell_angle_gamma 90.00
loop_
_atom_site_label
_atom_site_fract_x
_atom_site_fract_y
_atom_site_fract_z
_atom_site_occupancy
Al1 0.000 0.000 0.000 1
Si1 0.000 0.500 0.500 1
Sn1 0.500 0.500 0.500 1
# ΔE_f (raw): 6.83 eV/f.u.
# electronic total energy: -3.752 eV/atom
# total magnetic moment: 0.00 μB/atom
# crystal system: cubic

---

Entry 12:
# AlZn2SiSn (GGA-PBEsol, optimized geometry)
data_AlZn2SiSn
_chemical_formula_sum 'Al1 Zn2 Si1 Sn1'
_space_group_name_H-M_alt 'P 4/m m m'
_space_group_IT_number 123
_space_group_name_Hall '-P 4 2'
_cell_length_a 4.763
_cell_length_b 4.763
_cell_length_c 4.789
_cell_angle_alpha 90.00
_cell_angle_beta 90.00
_cell_angle_gamma 90.00
loop_
_atom_site_label
_atom_site_fract_x
_atom_site_fract_y
_atom_site_fract_z
_atom_site_occupancy
Al1 0.000 0.000 0.000 1
Zn1 0.000 0.500 0.000 1
Si1 0.000 0.000 0.500 1
Sn1 0.500 0.500 0.500 1
# ΔE_f (raw): 3.03 eV/f.u.
# electronic total energy: -2.847 eV/atom
# total magnetic moment: 0.00 μB/atom
# crystal system: tetragonal